! Pm2PrHg4 GGA-PBE relaxed; values from VASP
&SYSTEM
  ibrav = 0, nat = 14, ntyp = 3
/
ATOMIC_SPECIES
Pm 145.00 Pm.upf
Pr 140.91 Pr.upf
Hg 200.59 Hg.upf
ATOMIC_POSITIONS crystal
Pm 0.000 0.000 0.101
Pm 0.000 0.000 0.899
Pm 0.500 0.500 0.399
Pm 0.500 0.500 0.601
Pr 0.000 0.000 0.500
Pr 0.500 0.500 0.000
Hg 0.000 0.000 0.301
Hg 0.000 0.000 0.699
Hg 0.000 0.500 0.000
Hg 0.000 0.500 0.500
Hg 0.500 0.000 0.000
Hg 0.500 0.000 0.500
Hg 0.500 0.500 0.199
Hg 0.500 0.500 0.801
CELL_PARAMETERS angstrom
5.792 0.000 0.000
0.000 5.792 0.000
0.000 0.000 15.754
! Excess energy over the best structure of this formula in the dataset (meV/atom): 356
! Energy of formation (eV/atom): 0.023
! Total energy (eV/atom): -2.1900